(1)
A plane-wave DFT calculation with PBE was carried out for a relaxed structure of Sc2WCl.

Geometry as POSCAR:
```
Sc2WCl
1.0
-5.335 5.479 3.765
-7.443 3.363 2.439
-6.074 2.709 5.332
Sc Cl W
2 1 1
Cartesian
-0.012 0.007 0.007
-9.415 5.768 5.761
-14.139 8.663 8.652
-4.713 2.888 2.884
```

As for the total magnetic moment: 0.06 μB/atom. As for the formation energy without anion corrections: -0.381 eV/atom. For the relative energy among the computed polymorphs, the calculation gives 77.9 meV/atom.

(2)
A plane-wave DFT calculation with PBE was carried out for a relaxed structure of Sc2WCl.

Geometry as POSCAR:
```
Sc2WCl
1.0
7.774 0.031 0.078
-3.313 3.833 -0.050
1.149 1.021 2.600
W Sc Cl
1 2 1
Cartesian
-1.082 2.427 1.275
0.000 0.000 0.000
4.462 0.526 1.339
2.231 1.932 0.014
```

As for the total magnetic moment: 0.00 μB/atom. As for the formation energy without anion corrections: -0.055 eV/atom. For the relative energy among the computed polymorphs, the calculation gives 404.0 meV/atom.

(3)
A plane-wave DFT calculation with PBE was carried out for a relaxed structure of Sc2WCl.

Geometry as POSCAR:
```
Sc2WCl
1.0
4.773 0.000 0.000
2.387 4.134 0.000
2.387 1.378 3.897
Sc Cl W
2 1 1
Cartesian
0.000 0.000 0.000
2.387 1.378 0.974
4.773 2.756 1.949
7.160 4.134 2.923
```

As for the total magnetic moment: 0.21 μB/atom. As for the formation energy without anion corrections: 0.721 eV/atom. For the relative energy among the computed polymorphs, the calculation gives 1179.5 meV/atom.

(4)
A plane-wave DFT calculation with PBE was carried out for a relaxed structure of Sc2WCl.

Geometry as POSCAR:
```
Sc2WCl
1.0
5.376 -0.007 0.006
4.491 2.956 0.006
-0.123 -0.037 4.844
Sc Cl W
2 1 1
Cartesian
9.572 2.861 4.265
2.617 0.782 1.747
7.026 2.100 4.279
5.146 1.538 1.846
```

As for the total magnetic moment: 0.00 μB/atom. As for the formation energy without anion corrections: -0.134 eV/atom. For the relative energy among the computed polymorphs, the calculation gives 325.4 meV/atom.

(5)
A plane-wave DFT calculation with PBE was carried out for a relaxed structure of ScW4Cl.

Geometry as POSCAR:
```
ScW4Cl
1.0
0.297 2.696 4.673
-3.990 -0.419 3.619
0.814 -2.682 4.619
Sc W Cl
1 4 1
Cartesian
0.000 0.000 0.000
-0.934 1.186 7.173
-0.678 -1.484 7.146
-3.063 -0.361 6.650
-1.082 -0.152 4.853
-2.159 -0.304 9.683
```

As for the total magnetic moment: 0.00 μB/atom. As for the formation energy without anion corrections: 0.795 eV/atom.

(6)
A plane-wave DFT calculation with PBE was carried out for a relaxed structure of Sc2WCl.

Geometry as POSCAR:
```
Sc2WCl
1.0
3.114 0.000 0.000
-1.044 2.934 0.000
0.000 0.000 8.379
Sc Cl W
2 1 1
Cartesian
0.000 0.000 0.052
0.000 0.000 4.138
1.035 1.467 6.284
1.035 1.467 2.095
```

As for the total magnetic moment: 0.00 μB/atom. As for the formation energy without anion corrections: -0.380 eV/atom. For the relative energy among the computed polymorphs, the calculation gives 79.0 meV/atom.

(7)
A plane-wave DFT calculation with PBE was carried out for a relaxed structure of Sc2WCl.

Geometry as POSCAR:
```
Sc2WCl
1.0
1.759 0.000 9.545
-0.879 1.523 9.545
-0.879 -1.523 9.545
Cl Sc W
1 2 1
Cartesian
0.000 0.000 14.318
0.000 0.000 2.667
0.000 0.000 25.969
0.000 0.000 0.000
```

As for the total magnetic moment: 0.00 μB/atom. As for the formation energy without anion corrections: 0.037 eV/atom. For the relative energy among the computed polymorphs, the calculation gives 496.2 meV/atom.

(8)
A plane-wave DFT calculation with PBE was carried out for a relaxed structure of Sc2WCl.

Geometry as POSCAR:
```
Sc2WCl
1.0
-5.109 1.385 -2.487
-1.843 -2.116 -5.131
2.280 -1.727 5.101
Cl W Sc
1 1 2
Cartesian
-3.153 -0.354 -0.597
-3.476 -0.365 -3.809
0.000 0.000 0.000
-1.520 -2.104 -1.920
```

As for the total magnetic moment: 0.00 μB/atom. As for the formation energy without anion corrections: 0.359 eV/atom. For the relative energy among the computed polymorphs, the calculation gives 817.9 meV/atom.

> Which of these has the highest formation energy without anion corrections?

ScW4Cl

> Which formula does entry 4 have?

Sc2WCl

> Which value of total magnetic moment does entry 8 give?

0.00 μB/atom